Entry i
Density functional theory data (PBE) for crystalline Cd2In3Hg at its relaxed geometry.

Computed properties:
M_tot: 0.00 μB per formula unit
space group: No. 15
N(E_F): 0.233 states/eV/atom

a = 5.735 Å, b = 5.735 Å, c = 9.675 Å
α = 92.37°, β = 92.37°, γ = 102.72°
Fractional coordinates of all 12 atoms:
1 Cd 0.096 0.648 0.874
2 Cd 0.352 0.904 0.626
3 Cd 0.648 0.096 0.374
4 Cd 0.904 0.352 0.126
5 In 0.122 0.878 0.250
6 In 0.177 0.328 0.484
7 In 0.328 0.177 0.984
8 In 0.672 0.823 0.016
9 In 0.823 0.672 0.516
10 In 0.878 0.122 0.750
11 Hg 0.469 0.531 0.250
12 Hg 0.531 0.469 0.750

Entry ii
Density functional theory data (PBE) for crystalline Cd2In3Hg at its relaxed geometry.

Computed properties:
M_tot: 0.00 μB per formula unit
space group: No. 15
N(E_F): 0.376 states/eV/atom

a = 7.219 Å, b = 7.219 Å, c = 6.142 Å
α = 90.00°, β = 90.00°, γ = 101.45°
Fractional coordinates of all 12 atoms:
1 Cd 0.083 0.584 0.751
2 Cd 0.416 0.917 0.749
3 Cd 0.584 0.083 0.251
4 Cd 0.917 0.416 0.249
5 In 0.179 0.180 0.502
6 In 0.180 0.179 0.002
7 In 0.242 0.758 0.250
8 In 0.758 0.242 0.750
9 In 0.820 0.821 0.998
10 In 0.821 0.820 0.498
11 Hg 0.486 0.514 0.750
12 Hg 0.514 0.486 0.250

What should be chosen as the most stable of them? Choose entry i.